Record 1
## SmNpUO6 (PBE-GGA)

Data for crystalline SmNpUO6 at its relaxed geometry.

size of the total moment: 8.000 Bohr magnetons per cell

Geometry as extended XYZ:
```
18
Lattice="5.860 0.000 0.000 -2.930 5.075 0.000 0.000 0.000 9.342" Properties=species:S:1:pos:R:3 pbc="T T T"
Np 0.000 0.000 4.671
O -0.860 1.751 5.886
O -1.844 3.454 8.128
O 2.069 3.324 1.215
Sm 2.930 1.692 7.007
O 1.946 0.130 1.215
U 2.930 1.692 2.336
O 3.790 3.324 3.457
O 0.860 1.751 8.128
O 4.774 1.621 1.215
O 0.983 4.944 8.128
Sm 0.000 3.383 2.336
Np 0.000 0.000 0.000
U 0.000 3.383 7.007
O 1.086 1.621 3.457
O 1.844 3.454 5.886
O 3.913 0.130 3.457
O -0.983 4.944 5.886
```



Record 2
## ScAl2HgBi (PBE-GGA)

Data for crystalline ScAl2HgBi at its relaxed geometry.

size of the total moment: 0.000 Bohr magnetons per cell

Geometry as extended XYZ:
```
5
Lattice="-4.945 -0.794 -1.893 1.907 0.051 -5.002 0.799 -5.567 0.248" Properties=species:S:1:pos:R:3 pbc="T T T"
Al 0.954 0.025 -2.501
Bi 0.000 0.000 0.000
Al -2.472 -0.397 -0.947
Hg 0.400 -2.783 0.124
Sc -1.119 -3.155 -3.324
```



Record 3
## LiPmZrRh (PBE-GGA)

Data for crystalline LiPmZrRh at its relaxed geometry.

size of the total moment: 0.000 Bohr magnetons per cell

Geometry as extended XYZ:
```
4
Lattice="-4.478 -0.621 -1.792 -1.004 -3.889 -2.741 -2.849 -3.534 1.745" Properties=species:S:1:pos:R:3 pbc="T T T"
Li 0.000 0.000 0.000
Pm -2.083 -2.011 -0.697
Zr -6.248 -6.033 -2.091
Rh -4.165 -4.022 -1.394
```



Record 4
## GdScCuGe (PBE-GGA)

Data for crystalline GdScCuGe at its relaxed geometry.

size of the total moment: 7.653 Bohr magnetons per cell

Geometry as extended XYZ:
```
4
Lattice="4.857 0.000 0.000 2.428 4.206 0.000 2.428 1.402 3.965" Properties=species:S:1:pos:R:3 pbc="T T T"
Cu 7.285 4.206 2.974
Gd 0.000 0.000 0.000
Sc 4.857 2.804 1.983
Ge 2.428 1.402 0.991
```



Record 5
## Pr5NdTm2 (PBE-GGA)

Data for crystalline Pr5NdTm2 at its relaxed geometry.

size of the total moment: 0.000 Bohr magnetons per cell
energy above the most stable polymorph in this dataset: 28 meV/atom

Geometry as extended XYZ:
```
8
Lattice="3.552 0.000 -0.706 -0.960 10.276 -4.834 -0.114 -2.228 8.720" Properties=species:S:1:pos:R:3 pbc="T T T"
Pr 1.385 8.274 -2.310
Nd 0.000 0.000 0.000
Pr 1.092 -0.226 5.490
Tm 0.128 6.643 0.662
Pr -0.480 5.138 -2.417
Pr 0.650 4.507 3.264
Pr 1.828 3.540 -0.083
Tm 2.349 1.404 2.519
```



Record 6
## Ti7In3Ga (PBE-GGA)

Data for crystalline Ti7In3Ga at its relaxed geometry.

size of the total moment: 5.224 Bohr magnetons per cell

Geometry as extended XYZ:
```
11
Lattice="4.932 -0.192 -0.245 -2.190 6.709 0.529 -2.190 -1.113 6.637" Properties=species:S:1:pos:R:3 pbc="T T T"
Ga 0.276 2.702 3.460
Ti 0.371 5.613 3.099
In -2.190 0.627 5.278
In 2.466 -0.096 -0.123
Ti 0.371 1.645 6.197
Ti 0.115 1.110 1.422
In -2.190 4.969 1.888
Ti 0.181 3.759 0.724
Ti 0.437 4.294 5.499
Ti 0.181 -0.209 3.822
Ti -2.190 2.798 3.583
```



Number 1: energy -9.639 eV per atom. Number 2: energy -2.676 eV per atom. Number 3: energy -5.898 eV per atom. Number 4: energy -7.772 eV per atom. Number 5: energy -4.662 eV per atom. Number 6: energy -5.939 eV per atom.